A plane-wave DFT calculation with GGA-PBE was carried out for a relaxed SrTm2WN4 crystal.

abc: 3.364 6.276 12.067
angles: 90.00 90.00 105.54
Sites, in units of the cell vectors:
Sr (0.077, 0.155, 0.750)
Sr (0.923, 0.845, 0.250)
Tm (0.372, 0.745, 0.538)
Tm (0.628, 0.255, 0.038)
Tm (0.628, 0.255, 0.462)
Tm (0.372, 0.745, 0.962)
W (0.815, 0.630, 0.750)
W (0.185, 0.370, 0.250)
N (0.260, 0.520, 0.113)
N (0.740, 0.480, 0.613)
N (0.740, 0.480, 0.887)
N (0.260, 0.520, 0.387)
N (0.000, 0.000, 0.500)
N (0.000, 0.000, 0.000)
N (0.415, 0.830, 0.750)
N (0.585, 0.170, 0.250)

Calculated values
Raw formation energy ... -1113 meV/atom

=====

A plane-wave DFT calculation with GGA-PBE was carried out for a relaxed SrTmZnN2 crystal.

abc: 5.279 5.614 6.574
angles: 90.11 90.00 90.00
Sites, in units of the cell vectors:
Sr (0.005, 0.500, 0.750)
Sr (0.995, 0.500, 0.250)
Tm (0.499, 0.000, 0.250)
Tm (0.501, 0.000, 0.750)
Zn (0.000, 0.000, 0.000)
Zn (0.000, 0.000, 0.500)
N (0.720, 0.793, 0.000)
N (0.720, 0.207, 0.500)
N (0.280, 0.793, 0.500)
N (0.280, 0.207, 0.000)

Calculated values
Raw formation energy ... -592 meV/atom

=====

A plane-wave DFT calculation with GGA-PBE was carried out for a relaxed Sr2U2N5 crystal.

abc: 6.010 5.978 9.647
angles: 108.05 108.15 90.00
Each line ends with the local moment (μB).
Sites, in units of the cell vectors:
Sr (0.883, 0.376, 0.775)  0.01
Sr (0.117, 0.601, 0.225)  0.01
Sr (0.391, 0.876, 0.775)  0.01
Sr (0.609, 0.101, 0.225)  0.01
U (0.000, 0.994, 0.000)  0.10
U (0.500, 0.494, 0.000)  0.10
U (0.781, 0.763, 0.500)  0.75
U (0.219, 0.263, 0.500)  0.75
N (0.753, 0.750, 0.009)  -0.01
N (0.247, 0.741, 0.991)  -0.01
N (0.756, 0.250, 0.009)  -0.01
N (0.244, 0.241, 0.991)  -0.01
N (0.845, 0.865, 0.732)  -0.03
N (0.155, 0.133, 0.268)  -0.03
N (0.387, 0.365, 0.732)  -0.03
N (0.613, 0.633, 0.268)  -0.03
N (0.887, 0.114, 0.500)  -0.04
N (0.113, 0.614, 0.500)  -0.04

Calculated values
Raw formation energy ... -1189 meV/atom

=====

A plane-wave DFT calculation with GGA-PBE was carried out for a relaxed SrUN crystal.

abc: 3.606 3.605 12.881
angles: 90.00 90.00 120.01
Sites, in units of the cell vectors:
N (0.610, 0.220, 0.000)
N (0.279, 0.558, 0.500)
Sr (0.612, 0.224, 0.385)
Sr (0.612, 0.224, 0.615)
U (0.277, 0.553, 0.907)
U (0.277, 0.553, 0.093)

Calculated values
Raw formation energy ... -66 meV/atom

=====

A plane-wave DFT calculation with GGA-PBE was carried out for a relaxed Sr3UN4 crystal.

abc: 6.332 6.441 7.328
angles: 90.00 90.00 110.42
Sites, in units of the cell vectors:
Sr (0.750, 0.000, 0.377)
Sr (0.250, 0.000, 0.623)
Sr (0.750, 0.500, 0.628)
Sr (0.750, 0.500, 0.121)
Sr (0.250, 0.500, 0.372)
Sr (0.250, 0.500, 0.879)
U (0.750, 0.000, 0.878)
U (0.250, 0.000, 0.122)
N (0.951, 0.223, 0.670)
N (0.498, 0.192, 0.906)
N (0.451, 0.223, 0.330)
N (0.998, 0.192, 0.094)
N (0.002, 0.808, 0.906)
N (0.549, 0.777, 0.670)
N (0.502, 0.808, 0.094)
N (0.049, 0.777, 0.330)

Calculated values
Raw formation energy ... -1091 meV/atom

=====

A plane-wave DFT calculation with GGA-PBE was carried out for a relaxed Sr3U4N9 crystal.

abc: 6.041 6.041 9.080
angles: 70.57 70.57 60.00
Each line ends with the local moment (μB).
Sites, in units of the cell vectors:
Sr (0.999, 0.999, 0.004)  0.02
Sr (0.836, 0.836, 0.493)  0.02
Sr (0.417, 0.417, 0.748)  0.00
U (0.572, 0.572, 0.283)  0.98
U (0.134, 0.134, 0.599)  0.21
U (0.262, 0.262, 0.214)  0.98
U (0.701, 0.701, 0.898)  0.21
N (0.952, 0.437, 0.078)  -0.04
N (0.533, 0.952, 0.078)  -0.04
N (0.437, 0.533, 0.078)  -0.04
N (0.882, 0.302, 0.419)  -0.04
N (0.397, 0.882, 0.419)  -0.04
N (0.302, 0.397, 0.419)  -0.04
N (0.863, 0.417, 0.749)  -0.01
N (0.417, 0.971, 0.749)  -0.01
N (0.971, 0.863, 0.749)  -0.01

Calculated values
Raw formation energy ... -1236 meV/atom

=====

The records above give, respectively, electronic total energy values of -65.8; -27.0; -78.3; -21.5; -58.4; -144.9 eV per formula unit.